4
Lattice="2.7345 0.0000 0.0000 0.0000 4.1521 0.0000 0.0000 0.0000 6.9533" Properties=species:S:1:pos:R:3 comment="PBE-GGA KNi2Ag, relaxed" magmom_total_mub_per_fu=1.06 spacegroup=Pmmm de_polymorph_kj_per_mol_fu=67 n_ef_per_ev_fu=6.9 delta_e_f_ev_per_atom=0.58 pbc="T T T"
K 0.0000 0.0000 0.0000
Ni 1.3672 2.0760 2.3415
Ni 1.3672 2.0760 4.6118
Ag 0.0000 0.0000 3.4766